1.
The following is a PBE calculation of an optimized crystal structure of FeMo, from the Alexandria database.

a = 7.3031 Å, b = 7.3031 Å, c = 4.2345 Å
α = 90.00°, β = 90.00°, γ = 90.00°
Space group P4/mcc (No. 124)
Unique sites:
Fe 0.0760 0.2261 0.0000
Mo 0.2119 0.4074 0.5000

The formation energy is 51.4 kJ/mol of atoms. The value obtained for the total energy is -18.23 eV/f.u.

---

2.
The following is a PBE calculation of an optimized crystal structure of RuPt4W2, from the Alexandria database.

a = 4.8802 Å, b = 4.8802 Å, c = 12.4299 Å
α = 90.00°, β = 90.00°, γ = 90.00°
Space group I4/mmm (No. 139)
Unique sites:
Ru 0.0000 0.0000 0.0000
Pt 0.0000 0.0000 0.2089
Pt 0.0000 0.5000 0.0000
W 0.0000 0.0000 0.4025

The formation energy is 119.5 kJ/mol of atoms. The value obtained for the total energy is -50.67 eV/f.u.

---

3.
The following is a PBE calculation of an optimized crystal structure of PmNdTmCu, from the Alexandria database.

a = 3.5467 Å, b = 3.5467 Å, c = 8.7384 Å
α = 90.00°, β = 90.00°, γ = 90.00°
Space group P4mm (No. 99)
Unique sites:
Pm 0.0000 0.0000 0.0000
Nd 0.5000 0.5000 0.3130
Tm 0.0000 0.0000 0.6136
Cu 0.5000 0.5000 0.7874

The formation energy is -8.9 kJ/mol of atoms. The value obtained for the total energy is -18.45 eV/f.u.

---

4.
The following is a PBE calculation of an optimized crystal structure of AcCu2Si2, from the Alexandria database.

a = 4.2809 Å, b = 4.2809 Å, c = 9.9743 Å
α = 90.00°, β = 90.00°, γ = 90.00°
Space group I4/mmm (No. 139)
Unique sites:
Ac 0.0000 0.0000 0.0000
Cu 0.0000 0.5000 0.2500
Si 0.0000 0.0000 0.3742

The calculation puts the uncorrected formation energy at -0.501 eV/atom. The value obtained for the total energy is -25.65 eV/f.u.